## NaNpCu2Se4 (PBE-GGA)

Data for an optimized crystal structure of NaNpCu2Se4.

Geometry as extended XYZ:
```
8
Lattice="6.719 0.000 0.000 3.360 5.111 -0.014 3.360 0.405 5.095" Properties=species:S:1:pos:R:3 pbc="T T T"
Na 0.000 0.000 0.000
Np 6.719 2.758 2.541
Cu 3.360 1.777 1.637
Cu 10.079 3.740 3.445
Se 5.041 0.489 2.761
Se 5.041 5.027 2.320
Se 8.398 2.792 0.261
Se 8.398 2.724 4.820
```

The symmetry is I222. The formation energy without anion corrections is -0.510 eV/atom.

=====

## Na2NpCuSe4 (PBE-GGA)

Data for an optimized crystal structure of Na2NpCuSe4.

Geometry as extended XYZ:
```
8
Lattice="-2.813 2.997 -0.385 -1.631 -0.725 6.269 5.417 5.038 -0.351" Properties=species:S:1:pos:R:3 pbc="T T T"
Na 1.302 4.018 -0.368
Na 1.893 2.157 2.959
Np -2.222 1.136 2.942
Cu 0.000 0.000 0.000
Se -0.589 2.451 1.247
Se 1.562 4.860 4.286
Se 3.845 3.768 1.243
Se -0.059 0.546 4.675
```

The symmetry is P2/m. The formation energy without anion corrections is -0.837 eV/atom.

=====

## NaNp2CuSe4 (PBE-GGA)

Data for an optimized crystal structure of NaNp2CuSe4.

Geometry as extended XYZ:
```
16
Lattice="-0.028 -3.130 2.614 6.853 1.705 -1.065 -0.576 9.164 10.969" Properties=species:S:1:pos:R:3 pbc="T T T"
Na 1.154 6.906 8.283
Na 5.095 0.833 4.235
Np 4.680 5.275 6.368
Np 1.783 -0.937 2.078
Np 1.569 2.464 6.150
Np 4.466 8.676 10.440
Cu 4.249 5.404 9.700
Cu 2.000 2.335 2.818
Se 3.654 1.148 1.415
Se 2.748 4.153 8.185
Se 2.595 6.591 11.103
Se 3.501 3.586 4.333
Se -0.288 4.582 5.485
Se 0.000 0.000 0.000
Se 5.655 6.998 8.442
Se 0.594 0.741 4.076
```

The symmetry is Cmcm. The formation energy without anion corrections is -0.999 eV/atom.

=====

## Na3NpCu2Se6 (PBE-GGA)

Data for an optimized crystal structure of Na3NpCu2Se6.

Geometry as extended XYZ:
```
12
Lattice="-0.829 -4.009 -5.970 5.868 3.689 2.088 0.456 -5.412 4.791" Properties=species:S:1:pos:R:3 pbc="T T T"
Na 4.875 -0.421 3.014
Na 0.620 -5.311 -2.104
Na 2.748 -2.866 0.455
Np 0.000 0.000 0.000
Cu 3.232 0.659 -1.083
Cu 1.807 -0.980 -2.798
Se 3.015 -5.736 -0.240
Se 4.020 -1.640 -1.775
Se 2.480 0.004 1.150
Se 5.068 -3.377 2.229
Se 1.475 -4.093 2.685
Se 0.428 -2.356 -1.320
```

The symmetry is C2/m. The formation energy without anion corrections is -0.699 eV/atom.

=====

## NaNpCuSe3 (PBE-GGA)

Data for an optimized crystal structure of NaNpCuSe3.

Geometry as extended XYZ:
```
12
Lattice="-2.703 2.405 -1.820 -5.891 -5.899 0.953 -0.642 5.033 7.606" Properties=species:S:1:pos:R:3 pbc="T T T"
Na -1.975 0.679 1.577
Na -7.261 0.860 5.162
Np -4.785 -2.575 1.450
Np -4.451 4.113 5.288
Cu -1.526 3.069 4.071
Cu -7.709 -1.531 2.668
Se -7.446 -2.815 0.579
Se -1.790 4.353 6.159
Se -5.547 -1.560 3.923
Se -3.689 3.098 2.816
Se -4.707 0.017 0.255
Se -4.529 1.521 6.484
```

The symmetry is P2_1/m. The formation energy without anion corrections is -0.920 eV/atom.

=====

## Na3Np3CuSe8 (PBE-GGA)

Data for an optimized crystal structure of Na3Np3CuSe8.

Geometry as extended XYZ:
```
15
Lattice="8.113 0.000 0.000 -4.056 7.024 -0.027 0.000 -4.658 7.067" Properties=species:S:1:pos:R:3 pbc="T T T"
Na 0.000 0.000 0.000
Na -2.028 3.512 -0.014
Na 2.028 3.512 -0.014
Np 4.056 -2.329 3.534
Np 2.028 1.183 3.520
Np -2.028 1.183 3.520
Cu 0.000 -2.329 3.534
Se 0.000 2.345 1.865
Se 4.056 0.020 5.175
Se 4.056 2.393 1.991
Se 0.000 -0.027 5.050
Se 6.116 -1.183 1.998
Se -2.059 3.549 5.042
Se 1.997 -1.183 1.998
Se 2.059 3.549 5.042
```

The symmetry is C2/m. The formation energy without anion corrections is -0.980 eV/atom.

=====

## Na4Np3CuSe8 (PBE-GGA)

Data for an optimized crystal structure of Na4Np3CuSe8.

Geometry as extended XYZ:
```
16
Lattice="-0.360 7.600 -3.075 -8.098 -1.178 -1.962 2.454 -1.181 7.743" Properties=species:S:1:pos:R:3 pbc="T T T"
Na -0.180 3.800 -1.537
Na 1.047 3.209 2.334
Na 0.000 0.000 0.000
Na 1.227 -0.591 3.871
Np -4.229 3.211 -2.518
Np -3.002 2.620 1.353
Np -2.822 -1.179 2.891
Cu -4.049 -0.589 -0.981
Se -3.519 -0.203 5.469
Se -4.767 0.399 1.545
Se -0.997 1.025 2.649
Se -3.702 3.655 3.908
Se -2.301 1.586 -1.202
Se -5.007 4.216 0.057
Se -1.236 4.842 1.162
Se -2.484 5.444 -2.763
```

The symmetry is R-3m. The formation energy without anion corrections is -1.037 eV/atom.

=====

## NaNpCuTe3 (PBE-GGA)

Data for an optimized crystal structure of NaNpCuTe3.

Geometry as extended XYZ:
```
12
Lattice="-3.250 2.713 -0.503 0.419 -1.117 -8.739 -6.418 -7.072 3.332" Properties=species:S:1:pos:R:3 pbc="T T T"
Na -6.816 -4.044 -4.868
Na -2.433 -1.433 -1.042
Np -1.583 -1.248 -5.537
Np -7.666 -4.229 -0.373
Cu -4.532 -3.545 1.129
Cu -4.718 -1.931 -7.039
Te -3.528 -3.526 -5.254
Te -3.023 -0.064 -7.915
Te -3.246 0.467 -3.605
Te -5.721 -1.951 -0.657
Te -6.003 -5.944 -2.305
Te -6.226 -5.413 2.005
```

The symmetry is P2_1/m. The formation energy without anion corrections is -0.584 eV/atom.